InNi2Pb2: relaxed, PBE.

a = 7.094 Å, b = 7.094 Å, c = 4.035 Å
α = 90.00°, β = 90.00°, γ = 90.00°
Fractional coordinates of all 10 atoms:
In1 0.000 0.000 0.000
In2 0.500 0.500 0.000
Ni1 0.131 0.369 0.000
Ni2 0.369 0.869 0.000
Ni3 0.631 0.131 0.000
Ni4 0.869 0.631 0.000
Pb1 0.165 0.665 0.500
Pb2 0.335 0.165 0.500
Pb3 0.665 0.835 0.500
Pb4 0.835 0.335 0.500

Summary:
- Final energy: -4.194 eV per atom
- ΔH_f (0 K): 0.15 eV/atom

InNiPb2: relaxed, PBE.

a = 9.369 Å, b = 9.369 Å, c = 9.369 Å
α = 148.41°, β = 148.41°, γ = 45.28°
Fractional coordinates of all 8 atoms:
In1 0.000 0.000 0.000
In2 0.750 0.250 0.500
Ni1 0.250 0.750 0.500
Ni2 0.500 0.500 0.000
Pb1 0.192 0.625 0.067
Pb2 0.375 0.442 0.567
Pb3 0.558 0.125 0.933
Pb4 0.875 0.808 0.433

Summary:
- Final energy: -3.609 eV per atom
- ΔH_f (0 K): 0.38 eV/atom

InNiPb2: relaxed, PBE.

a = 6.419 Å, b = 6.419 Å, c = 3.632 Å
α = 90.00°, β = 90.00°, γ = 133.74°
Fractional coordinates of all 4 atoms:
In1 0.000 0.000 0.000
Ni1 0.500 0.500 0.000
Pb1 0.334 0.666 0.500
Pb2 0.666 0.334 0.500

Summary:
- Final energy: -3.916 eV per atom
- ΔH_f (0 K): 0.07 eV/atom

InNiPb: relaxed, PBE.

a = 6.733 Å, b = 6.858 Å, c = 6.953 Å
α = 60.86°, β = 84.49°, γ = 76.93°
Fractional coordinates of all 12 atoms:
In1 0.000 0.000 0.000
In2 0.022 0.493 0.985
In3 0.465 0.154 0.959
In4 0.878 0.774 0.479
Ni1 0.139 0.355 0.693
Ni2 0.144 0.577 0.267
Ni3 0.720 0.193 0.202
Ni4 0.744 0.419 0.788
Pb1 0.382 0.149 0.469
Pb2 0.402 0.661 0.496
Pb3 0.493 0.647 0.996
Pb4 0.854 0.287 0.480

Summary:
- Energy above the lowest structure with this stoichiometry: 0 meV/atom
- Final energy: -4.068 eV per atom
- ΔH_f (0 K): 0.01 eV/atom

InNiPb2: relaxed, PBE.

a = 5.263 Å, b = 5.263 Å, c = 3.599 Å
α = 90.00°, β = 90.00°, γ = 101.59°
Fractional coordinates of all 4 atoms:
In1 0.000 0.000 0.000
Ni1 0.500 0.500 0.000
Pb1 0.000 0.500 0.500
Pb2 0.500 0.000 0.500

Summary:
- Final energy: -3.636 eV per atom
- ΔH_f (0 K): 0.35 eV/atom

InNiPb: relaxed, PBE.

a = 3.519 Å, b = 3.519 Å, c = 6.243 Å
α = 90.00°, β = 90.00°, γ = 120.00°
Fractional coordinates of all 3 atoms:
In1 0.000 0.000 0.000
Ni1 0.667 0.333 0.268
Pb1 0.333 0.667 0.557

Summary:
- Energy above the lowest structure with this stoichiometry: 128 meV/atom
- Final energy: -3.940 eV per atom
- ΔH_f (0 K): 0.14 eV/atom

In2NiPb: relaxed, PBE.

a = 5.646 Å, b = 5.646 Å, c = 5.646 Å
α = 134.20°, β = 134.20°, γ = 66.77°
Fractional coordinates of all 4 atoms:
In1 0.250 0.750 0.500
In2 0.750 0.250 0.500
Ni1 0.000 0.000 0.000
Pb1 0.500 0.500 0.000

Summary:
- Final energy: -3.437 eV per atom
- ΔH_f (0 K): 0.30 eV/atom

In2NiPb: relaxed, PBE.

a = 4.294 Å, b = 4.294 Å, c = 4.930 Å
α = 90.00°, β = 90.00°, γ = 90.00°
Fractional coordinates of all 4 atoms:
In1 0.000 0.500 0.000
In2 0.500 0.000 0.000
Ni1 0.000 0.000 0.500
Pb1 0.500 0.500 0.500

Summary:
- Final energy: -3.451 eV per atom
- ΔH_f (0 K): 0.29 eV/atom

In2NiPb: relaxed, PBE.

a = 5.082 Å, b = 5.082 Å, c = 5.082 Å
α = 60.00°, β = 60.00°, γ = 60.00°
Fractional coordinates of all 4 atoms:
In1 0.000 0.000 0.000
In2 0.250 0.250 0.250
Ni1 0.500 0.500 0.500
Pb1 0.750 0.750 0.750

Summary:
- Final energy: -3.408 eV per atom
- ΔH_f (0 K): 0.33 eV/atom

InNiPb2: relaxed, PBE.

a = 3.335 Å, b = 3.335 Å, c = 8.830 Å
α = 90.00°, β = 90.00°, γ = 90.00°
Fractional coordinates of all 4 atoms:
In1 0.000 0.000 0.000
Ni1 0.000 0.000 0.500
Pb1 0.500 0.500 0.310
Pb2 0.500 0.500 0.690

Summary:
- Final energy: -3.860 eV per atom
- ΔH_f (0 K): 0.12 eV/atom

In2NiPb: relaxed, PBE.

a = 3.600 Å, b = 6.268 Å, c = 6.268 Å
α = 47.11°, β = 90.00°, γ = 90.00°
Fractional coordinates of all 4 atoms:
In1 0.000 0.000 0.000
In2 0.500 0.336 0.336
Ni1 0.000 0.498 0.498
Pb1 0.500 0.669 0.669

Summary:
- Final energy: -3.691 eV per atom
- ΔH_f (0 K): 0.05 eV/atom

In2NiPb: relaxed, PBE.

a = 3.257 Å, b = 3.257 Å, c = 8.743 Å
α = 90.00°, β = 90.00°, γ = 90.00°
Fractional coordinates of all 4 atoms:
In1 0.000 0.000 0.000
In2 0.500 0.500 0.283
Ni1 0.000 0.000 0.452
Pb1 0.500 0.500 0.659

Summary:
- Final energy: -3.677 eV per atom
- ΔH_f (0 K): 0.07 eV/atom